This record from Alexandria via LeMat-Bulk describes a geometry-optimized SrLa2 structure. The functional is PBEsol.

## Properties
- Volume: 38.8 A^3/atom
- N(E_F): 6.9 states/eV/cell
- Polymorph energy (0 for the lowest one): 0 meV per atom
- Energy: -4.10 eV/atom
- Energy of formation: 81 meV/atom

The structure in CIF format:
```
data_SrLa2
_cell_length_a 3.753
_cell_length_b 3.753
_cell_length_c 16.546
_cell_angle_alpha 90.00
_cell_angle_beta 90.00
_cell_angle_gamma 90.00
_space_group_name_H-M_alt 'I 4/m m m'
_space_group_IT_number 139
_space_group_name_Hall '-I 4 2'
loop_
_atom_site_label
_atom_site_type_symbol
_atom_site_fract_x
_atom_site_fract_y
_atom_site_fract_z
Sr1 Sr 0.000 0.000 0.000
La1 La 0.000 0.000 0.321
```